15
Lattice="6.6731 0.0000 0.0000 -3.3365 5.7791 0.0000 0.0000 0.0000 8.1723" Properties=species:S:1:pos:R:3 comment="KRb3Tl2F9, relaxed, DFT PBE" magnetic_moment_mub_per_cell=0.0 energy_ev_per_cell=-60.56 pbc="T T T"
K 0.0000 0.0000 0.0000
Rb 0.0000 0.0000 4.0861
Rb 0.0000 3.8527 1.1631
Rb 3.3365 1.9263 7.0092
Tl 0.0000 3.8527 5.3807
Tl 3.3365 1.9263 2.7916
F -1.6683 2.8895 4.0861
F 0.0000 2.0492 6.6921
F -1.5619 4.7545 6.6921
F 1.7746 1.0246 1.4802
F 3.3365 0.0000 4.0861
F 1.6683 2.8895 4.0861
F 1.5619 4.7545 6.6921
F 4.8984 1.0246 1.4802
F 3.3365 3.7299 1.4802